Below is a relaxed structure of PaNi2Ge2, with properties calculated at the PBE level.

a b c (Å): 5.693 5.693 6.718
angles (deg): 100.84 100.84 123.80
Fractional positions:
Pa 0.500 0.500 0.000
Pa 0.750 0.250 0.500
Ni 0.899 0.899 0.798
Ni 0.101 0.101 0.202
Ni 0.149 0.649 0.298
Ni 0.351 0.851 0.702
Ge 0.201 0.799 0.000
Ge 0.799 0.201 0.000
Ge 0.049 0.951 0.500
Ge 0.451 0.549 0.500

DFT formation energy = -507 meV/atom
Calculated volume = 165.9 Å³/cell
Density of states at the Fermi level = 7.53 states/eV per cell